La2Nd3Ho8 after structural relaxation. Source: Alexandria, functional PBE.

extended XYZ file:
```
13
Lattice="5.5341 0.0000 0.6743 0.0000 7.7088 0.0000 -1.2738 -3.8544 10.4300" Properties=species:S:1:pos:R:3 pbc="T T T"
La 2.1496 0.0000 5.3646
La 2.1107 3.8544 5.7397
Nd 2.7670 0.0000 0.3371
Nd 0.0000 2.2731 0.0000
Nd 0.0000 5.4357 0.0000
Ho -0.4066 3.8544 3.3465
Ho 4.6669 0.0000 7.7578
Ho 5.2100 0.0000 3.3218
Ho -0.9497 3.8544 7.7824
Ho 1.7650 1.6301 8.5362
Ho 1.7650 -1.6301 8.5362
Ho 2.4953 5.4845 2.5680
Ho 2.4953 2.2242 2.5680
```

Space group: No. 12
DFT formation energy: 0.253 eV/atom
Excess energy over the best structure of this formula in the dataset: 172 meV per atom